This record from Alexandria describes a relaxed LaTc crystal. The functional is GGA-PBE.

Geometry as CIF:
```
data_LaTc
_cell_length_a 5.2849
_cell_length_b 5.2849
_cell_length_c 7.8896
_cell_angle_alpha 90.00
_cell_angle_beta 90.00
_cell_angle_gamma 120.00
_space_group_name_H-M_alt 'P 63/m m c'
_space_group_IT_number 194
_space_group_name_Hall '-P 6c 2c'
loop_
_atom_site_label
_atom_site_fract_x
_atom_site_fract_y
_atom_site_fract_z
La1 0.0000 0.0000 0.2500
La2 0.3333 0.6667 0.2500
Tc1 0.3333 0.6667 0.6043
```

Values from the calculation:
**N(E_F)**: 13.29 states/eV/cell
**Energy above the lowest structure with this stoichiometry**: 0.4721 eV/atom
**Formation energy from the elements**: 97.1 kJ/mol of formula units